The following is a DFT calculation (PBE-GGA) of TbPm7Ru2 after structural relaxation.

Lattice parameters (Å, degrees): 5.4888 8.4015 8.4015 116.52 90.00 90.00
With the nearest neighbours (Å) after each atom.
Atoms (fractional coordinates):
Ru 0.5000 0.2985 0.7015  7 Pm 2.75-2.90
Ru 0.5000 0.7015 0.2985  7 Pm 2.75-2.90
Pm 0.0000 0.7081 0.2919  2 Ru 2.75
Pm 0.0000 0.2919 0.7081  2 Ru 2.75
Pm 0.5000 0.3252 0.0571  2 Ru 2.89-2.90
Pm 0.5000 0.6748 0.9429  2 Ru 2.89-2.90
Pm 0.5000 0.0571 0.3252  2 Ru 2.89-2.90
Pm 0.5000 0.5000 0.5000  2 Ru 2.88
Pm 0.5000 0.9429 0.6748  2 Ru 2.89-2.90
Tb 0.0000 0.0000 0.0000  10 Pm 3.75-4.17

Results
DOS(E_F): 11.893 states/eV/cell
energy relative to the elements: 0.07 eV/atom
energy: -5.578 eV per atom
space-group type: Cmmm, No. 65